Version 1
TlRe3 | PBE | optimized geometry

```
TlRe3
1.0
-1.970 1.970 4.224
1.970 -1.970 4.224
1.970 1.970 -4.224
Tl Re
1 3
Cartesian
0.000 0.000 0.000
1.970 0.000 2.112
0.000 0.000 4.224
0.000 1.970 2.112
```

## Properties
As for the spin magnetization: 0.0 μB/f.u. For the volume, the calculation gives 65.59 Å³/cell.

---

Version 2
TlRe3 | PBE | optimized geometry

```
TlRe3
1.0
5.854 0.000 0.000
-2.927 5.070 0.000
0.000 0.000 4.502
Tl Re
2 6
Cartesian
0.000 3.380 1.125
2.927 1.690 3.376
0.000 1.578 3.376
-1.560 4.281 3.376
1.367 0.789 1.125
1.560 4.281 3.376
4.487 0.789 1.125
2.927 3.491 1.125
```

## Properties
As for the spin magnetization: 0.0 μB/f.u. For the volume, the calculation gives 133.60 Å³/cell.

---

Version 3
TlRe3 | PBE | optimized geometry

```
TlRe3
1.0
2.878 0.000 0.000
0.000 2.878 0.000
0.000 0.000 8.124
Tl Re
1 3
Cartesian
0.000 0.000 0.000
0.000 0.000 4.062
1.439 1.439 2.276
1.439 1.439 5.848
```

## Properties
As for the spin magnetization: 0.0 μB/f.u. For the volume, the calculation gives 67.27 Å³/cell.

---

Energies, relative to the best one, in meV/atom: version 1 342; version 2 312; version 3 0.

---

Version 1
Tl3Re5 | PBE | optimized geometry

```
Tl3Re5
1.0
4.762 -5.015 0.000
4.762 5.015 0.000
0.000 0.000 3.004
Tl Re
3 5
Cartesian
0.000 0.000 0.000
4.762 2.406 1.502
4.762 -2.406 1.502
2.381 2.507 0.000
2.598 0.000 1.502
2.381 -2.507 0.000
4.762 0.000 0.000
6.927 0.000 1.502
```

## Properties
As for the spin magnetization: 0.0 μB/f.u. For the volume, the calculation gives 143.46 Å³/cell.

---

Version 2
Tl3Re5 | PBE | optimized geometry

```
Tl3Re5
1.0
4.895 0.000 0.000
0.542 7.060 0.000
1.904 1.776 10.037
Tl Re
6 10
Cartesian
1.010 2.992 1.932
1.702 5.880 0.128
3.200 3.430 7.463
4.141 5.406 2.574
5.640 2.956 9.909
6.331 5.844 8.105
1.864 5.507 4.559
1.702 7.133 2.700
2.169 1.014 5.284
4.001 7.486 7.411
3.181 3.193 4.341
4.160 5.642 5.696
3.341 1.350 2.626
5.172 7.822 4.753
5.639 1.703 7.337
5.477 3.329 5.478
```

## Properties
As for the spin magnetization: 0.0 μB/f.u. For the volume, the calculation gives 346.86 Å³/cell.

---

Energies, relative to the best one, in meV/atom: version 1 498; version 2 0.

---

Version 1
Tl4Re3 | PBE | optimized geometry

```
Tl4Re3
1.0
-1.520 1.520 16.574
1.520 -1.520 16.574
1.520 1.520 -16.574
Tl Re
4 3
Cartesian
0.000 0.000 2.235
0.000 0.000 11.307
0.000 0.000 21.842
0.000 0.000 30.914
0.000 0.000 7.595
0.000 0.000 16.574
0.000 0.000 25.553
```

## Properties
As for the spin magnetization: 0.4 μB/f.u. For the volume, the calculation gives 153.22 Å³/cell.

---

Version 2
Tl4Re3 | PBE | optimized geometry

```
Tl4Re3
1.0
5.459 0.000 0.000
-2.730 4.728 0.000
0.000 0.000 5.552
Tl Re
4 3
Cartesian
0.000 0.000 1.380
0.000 0.000 4.172
0.000 3.152 0.000
2.730 1.576 0.000
-1.365 2.364 2.776
2.730 0.000 2.776
1.365 2.364 2.776
```

## Properties
As for the spin magnetization: 0.0 μB/f.u. For the volume, the calculation gives 143.30 Å³/cell.

---

Energies, relative to the best one, in meV/atom: version 1 0; version 2 186.

---

Version 1
Tl5Re | PBE | optimized geometry

```
Tl5Re
1.0
5.661 0.000 0.000
-2.831 4.903 0.000
0.000 0.000 5.401
Tl Re
5 1
Cartesian
-1.951 3.379 0.000
0.880 1.524 0.000
0.000 3.268 2.700
2.831 1.634 2.700
3.901 0.000 0.000
0.000 0.000 2.700
```

## Properties
As for the spin magnetization: 0.4 μB/f.u. For the volume, the calculation gives 149.90 Å³/cell.

---

Version 2
Tl5Re | PBE | optimized geometry

```
Tl5Re
1.0
3.234 0.000 0.000
0.000 3.234 0.000
0.000 0.000 15.116
Tl Re
5 1
Cartesian
0.000 0.000 0.000
0.000 0.000 5.618
0.000 0.000 9.498
1.617 1.617 2.891
1.617 1.617 12.225
1.617 1.617 7.558
```

## Properties
As for the spin magnetization: 1.5 μB/f.u. For the volume, the calculation gives 158.10 Å³/cell.

---

Energies, relative to the best one, in meV/atom: version 1 202; version 2 0.

---

Version 1
Tl5Re | PBE | optimized geometry

```
Tl5Re
1.0
6.054 0.000 0.000
-3.027 5.243 0.000
0.000 0.000 5.977
Tl Re
5 1
Cartesian
-1.513 2.621 0.000
0.000 3.495 2.989
3.027 0.000 0.000
1.513 2.621 0.000
3.027 1.748 2.989
0.000 0.000 2.989
```

## Properties
As for the spin magnetization: 3.9 μB/f.u. For the volume, the calculation gives 189.71 Å³/cell.

---

Version 2
Tl5Re | PBE | optimized geometry

```
Tl5Re
1.0
1.529 -12.739 0.000
1.529 12.739 0.000
0.000 0.000 4.800
Tl Re
5 1
Cartesian
0.000 0.000 0.000
1.529 10.177 2.400
1.529 4.744 0.000
1.529 -4.744 0.000
1.529 -10.177 2.400
1.529 0.000 2.400
```

## Properties
As for the spin magnetization: 0.0 μB/f.u. For the volume, the calculation gives 187.04 Å³/cell.

---

Energies, relative to the best one, in meV/atom: version 1 626; version 2 0.

---

Version 1
Tl5Re | PBE | optimized geometry

```
Tl5Re
1.0
7.544 -1.504 0.000
7.544 1.504 0.000
-2.226 0.000 7.483
Tl Re
5 1
Cartesian
0.000 0.000 0.000
-0.604 0.000 4.586
5.107 0.000 2.029
9.742 0.000 2.981
9.655 0.000 6.338
4.357 0.000 4.871
```

## Properties
As for the spin magnetization: 0.0 μB/f.u. For the volume, the calculation gives 169.83 Å³/cell.

---

Version 2
Tl5Re | PBE | optimized geometry

```
Tl5Re
1.0
4.638 0.000 0.000
0.000 1.542 12.691
0.000 -1.542 12.691
Tl Re
5 1
Cartesian
0.000 0.000 0.000
0.000 0.000 7.689
0.000 0.000 15.625
2.319 0.000 10.214
2.319 0.000 18.181
2.319 0.000 3.007
```

## Properties
As for the spin magnetization: 0.0 μB/f.u. For the volume, the calculation gives 181.57 Å³/cell.

---

Energies, relative to the best one, in meV/atom: version 1 0; version 2 21.

---

Version 1
TlRe | PBE | optimized geometry

```
TlRe
1.0
2.966 0.000 0.000
-1.483 2.568 0.000
0.000 0.000 11.363
Tl Re
2 2
Cartesian
0.000 1.712 1.969
1.483 0.856 9.394
0.000 1.712 6.669
1.483 0.856 4.693
```

## Properties
As for the spin magnetization: 0.0 μB/f.u. For the volume, the calculation gives 86.54 Å³/cell.

---

Version 2
TlRe | PBE | optimized geometry

```
TlRe
1.0
6.560 -1.499 0.000
6.560 1.499 0.000
-2.987 0.000 6.540
Tl Re
3 3
Cartesian
0.000 0.000 0.000
-0.957 0.000 3.422
3.284 0.000 0.447
3.057 0.000 3.496
7.978 0.000 2.146
7.934 0.000 4.738
```

## Properties
As for the spin magnetization: 0.0 μB/f.u. For the volume, the calculation gives 128.61 Å³/cell.

---

Version 3
TlRe | PBE | optimized geometry

```
TlRe
1.0
-4.259 4.259 4.259
4.259 -4.259 4.259
4.259 4.259 -4.259
Tl Re
4 4
Cartesian
1.801 1.801 -1.801
1.801 -1.801 1.801
-1.801 1.801 1.801
2.459 2.459 2.459
3.386 3.386 -3.386
3.386 -3.386 3.386
0.873 0.873 0.873
-3.386 3.386 3.386
```

## Properties
As for the spin magnetization: 0.3 μB/f.u. For the volume, the calculation gives 309.10 Å³/cell.

---

Energies, relative to the best one, in meV/atom: version 1 0; version 2 133; version 3 809.

---

Version 1
TlRe | PBE | optimized geometry

```
TlRe
1.0
3.021 0.000 0.000
0.000 6.142 3.519
0.000 -6.142 3.519
Tl Re
3 3
Cartesian
0.000 0.000 0.000
1.511 -2.879 2.191
1.511 2.879 2.191
0.000 -1.171 4.276
0.000 1.171 4.276
1.511 0.000 2.483
```

## Properties
As for the spin magnetization: 0.0 μB/f.u. For the volume, the calculation gives 130.60 Å³/cell.

---

Version 2
TlRe | PBE | optimized geometry

```
TlRe
1.0
2.108 1.217 6.303
-2.108 1.217 6.303
0.000 -2.434 6.303
Tl Re
2 2
Cartesian
0.000 0.000 1.995
0.000 0.000 16.915
0.000 0.000 6.170
0.000 0.000 12.740
```

## Properties
As for the spin magnetization: 0.0 μB/f.u. For the volume, the calculation gives 97.01 Å³/cell.

---

Version 3
TlRe | PBE | optimized geometry

```
TlRe
1.0
4.196 0.000 0.000
-2.098 3.634 0.000
0.000 0.000 13.311
Tl Re
4 4
Cartesian
0.000 2.422 1.241
0.000 2.422 5.415
2.098 1.211 7.896
2.098 1.211 12.071
0.000 0.000 3.328
0.000 0.000 9.983
0.000 2.422 9.983
2.098 1.211 3.328
```

## Properties
As for the spin magnetization: 0.0 μB/f.u. For the volume, the calculation gives 202.94 Å³/cell.

---

Energies, relative to the best one, in meV/atom: version 1 0; version 2 105; version 3 148.

---

Version 1
TlRe | PBE | optimized geometry

```
TlRe
1.0
5.330 0.000 0.000
0.000 5.330 0.000
0.000 0.000 5.330
Tl Re
4 4
Cartesian
0.515 0.515 0.515
2.150 4.815 3.180
3.180 2.150 4.815
4.815 3.180 2.150
0.585 3.250 4.744
2.080 2.080 2.080
3.250 4.744 0.585
4.744 0.585 3.250
```

## Properties
As for the spin magnetization: 0.0 μB/f.u. For the volume, the calculation gives 151.40 Å³/cell.

---

Version 2
TlRe | PBE | optimized geometry

```
TlRe
1.0
1.494 0.862 10.202
-1.494 0.862 10.202
0.000 -1.725 10.202
Tl Re
2 2
Cartesian
0.000 0.000 3.593
0.000 0.000 27.013
0.000 0.000 11.192
0.000 0.000 19.414
```

## Properties
As for the spin magnetization: 0.0 μB/f.u. For the volume, the calculation gives 78.86 Å³/cell.

---

Energies, relative to the best one, in meV/atom: version 1 714; version 2 0.

---

Version 1
Tl4Re5 | PBE | optimized geometry

```
Tl4Re5
1.0
8.273 0.000 0.000
-4.137 7.165 0.000
0.000 0.000 5.527
Tl Re
8 10
Cartesian
0.000 0.000 0.000
0.000 0.000 2.764
-1.487 2.576 1.382
-2.649 4.589 4.145
2.974 0.000 1.382
1.487 2.576 4.145
5.299 0.000 4.145
2.649 4.589 1.382
-1.297 2.246 4.145
-2.840 4.919 1.382
2.594 0.000 4.145
1.297 2.246 1.382
0.000 4.777 0.000
0.000 4.777 2.764
4.137 2.388 0.000
4.137 2.388 2.764
5.680 0.000 1.382
2.840 4.919 4.145
```

## Properties
As for the spin magnetization: 0.0 μB/f.u. For the volume, the calculation gives 327.64 Å³/cell.

---

Version 2
Tl4Re5 | PBE | optimized geometry

```
Tl4Re5
1.0
-4.601 4.601 2.108
4.601 -4.601 2.108
4.601 4.601 -2.108
Tl Re
4 5
Cartesian
2.886 0.000 0.000
6.316 0.000 0.000
0.000 2.886 0.000
0.000 6.316 0.000
0.000 0.000 0.000
3.334 3.334 0.000
1.266 -1.266 2.108
-1.266 1.266 2.108
1.266 1.266 2.108
```

## Properties
As for the spin magnetization: 0.0 μB/f.u. For the volume, the calculation gives 178.47 Å³/cell.

---

Energies, relative to the best one, in meV/atom: version 1 489; version 2 0.